VASP calculation (PBE with a Hubbard U) on Mn3RuF after structural relaxation.

The density of states at the Fermi level comes out at 4.43 states/eV/f.u. The calculation puts the magnetic moment at 14.5 μB/f.u. The value obtained for the total energy is -6.10 eV/atom.

The structure belongs to space group Pm-3m (No. 221); the cell edges are 4.954, 4.954 and 4.954 Å and the angles 90.00°, 90.00° and 90.00°. The asymmetric unit holds Mn at (0.000, 0.000, 0.500), Ru at (0.000, 0.000, 0.000) and F at (0.500, 0.500, 0.500).